# Sm8Er4Tm

A relaxed structure of Sm8Er4Tm (PBE, Alexandria via LeMat-Bulk).

Lattice parameters (Å, degrees): 7.2215 7.2215 28.5267 90.00 90.00 120.00
Last column: nearest neighbours and their distance in Å.
Space group R-3m (No. 166, hexagonal axes)
One atom of each set of equivalent atoms:
Sm (0.0000, 0.0000, 0.2126) [6 per cell]  9 Sm 3.68-3.80, 3 Er 4.03
Sm (0.0292, 0.5146, 0.7639) [18 per cell]  1 Tm 3.01, 2 Sm 3.29, 1 Er 3.36
Er (0.0000, 0.0000, 0.0000) [3 per cell]  6 Sm 3.36, 6 Er 3.61
Er (0.0000, 0.5000, 0.0000) [9 per cell]  4 Sm 3.53, 6 Er 3.61
Tm (0.0000, 0.0000, 0.5000) [3 per cell]  6 Sm 3.01

Summary:
* calculated formation energy: 0.205 eV/atom
* E: -4.447 eV/atom
* crystal system: trigonal